1.
{"formula": "SrCr2RuN", "functional": "PBE-GGA", "state": "optimized geometry", "e_form_raw_mev_per_atom": 2584, "cell": [[5.466, 0.000, 0.000], [0.000, 5.466, 0.000], [0.000, 0.000, 4.071]], "species": ["Sr", "Cr", "Cr", "Ru", "N"], "fractional_positions": [[0.000, 0.000, 0.000], [0.000, 0.500, 0.000], [0.500, 0.000, 0.000], [0.500, 0.500, 0.500], [0.000, 0.000, 0.500]]}

=====

2.
{"formula": "BaCoP2Os", "functional": "PBE-GGA", "state": "optimized geometry", "formation_energy_ev_per_atom": -0.7739, "cell": [[-1.949, 1.949, 6.348], [1.949, -1.949, 6.348], [1.949, 1.949, -6.348]], "species": ["Ba", "Co", "P", "P", "Os"], "fractional_positions": [[0.000, 0.000, 0.000], [0.750, 0.250, 0.500], [0.345, 0.345, 0.000], [0.655, 0.655, 0.000], [0.250, 0.750, 0.500]]}

=====

3.
{"formula": "PmTm2TiN4", "functional": "PBE-GGA", "state": "optimized geometry", "e_form_raw_mev_per_atom": -1526, "cell": [[1.689, -5.832, 0.000], [1.689, 5.832, 0.000], [0.000, 0.000, 11.736]], "species": ["Pm", "Pm", "Tm", "Tm", "Tm", "Tm", "Ti", "Ti", "N", "N", "N", "N", "N", "N", "N", "N"], "fractional_positions": [[0.098, 0.902, 0.750], [0.902, 0.098, 0.250], [0.371, 0.629, 0.539], [0.371, 0.629, 0.961], [0.629, 0.371, 0.039], [0.629, 0.371, 0.461], [0.164, 0.836, 0.250], [0.836, 0.164, 0.750], [0.000, 0.000, 0.000], [0.000, 0.000, 0.500], [0.262, 0.738, 0.122], [0.262, 0.738, 0.378], [0.434, 0.566, 0.750], [0.566, 0.434, 0.250], [0.738, 0.262, 0.622], [0.738, 0.262, 0.878]]}

=====

4.
{"formula": "La2CeSn", "functional": "PBE-GGA", "state": "optimized geometry", "formation_energy_ev_per_atom": -0.3280, "polymorph_energy_mev_per_atom": 98, "cell": [[4.226, 0.000, 0.000], [0.000, 4.226, 0.000], [0.000, 0.000, 7.094]], "species": ["La", "La", "Ce", "Sn"], "fractional_positions": [[0.000, 0.000, 0.227], [0.000, 0.000, 0.773], [0.500, 0.500, 0.500], [0.500, 0.500, 0.000]]}

=====

5.
{"formula": "Ce4As2PBr", "functional": "PBE-GGA", "state": "optimized geometry", "e_form_raw_mev_per_atom": -1413, "cell": [[7.230, 0.000, 0.000], [0.000, 4.200, 0.000], [-2.433, 0.000, 6.881]], "species": ["Ce", "Ce", "Ce", "Ce", "As", "As", "P", "Br"], "fractional_positions": [[0.244, 0.000, 0.236], [0.252, 0.500, 0.762], [0.748, 0.500, 0.238], [0.756, 0.000, 0.764], [0.000, 0.000, 0.500], [0.000, 0.500, 0.000], [0.500, 0.000, 0.000], [0.500, 0.500, 0.500]]}

=====

6.
{"formula": "Be2ZnSi", "functional": "PBE-GGA", "state": "optimized geometry", "e_form_raw_mev_per_atom": 360, "polymorph_energy_mev_per_atom": 87, "cell": [[4.413, 0.000, 0.000], [0.000, 4.413, 0.000], [0.000, 0.000, 2.431]], "species": ["Be", "Be", "Zn", "Si"], "fractional_positions": [[0.000, 0.500, 0.000], [0.500, 0.000, 0.000], [0.000, 0.000, 0.500], [0.500, 0.500, 0.500]]}

=====

7.
{"formula": "SrIn2Au", "functional": "PBE-GGA", "state": "optimized geometry", "formation_energy_ev_per_atom": -0.3794, "cell": [[-1.858, 2.703, 5.447], [1.858, -2.703, 5.447], [1.858, 2.703, -5.447]], "species": ["Sr", "In", "In", "Au"], "fractional_positions": [[0.000, 0.000, 0.000], [0.289, 0.789, 0.500], [0.711, 0.211, 0.500], [0.500, 0.500, 0.000]]}

=====

8.
{"formula": "RbCuMo", "functional": "PBE-GGA", "state": "optimized geometry", "formation_energy_ev_per_atom": 0.5782, "polymorph_energy_mev_per_atom": 40, "cell": [[3.652, 0.000, 0.000], [0.000, 3.632, 0.000], [-0.191, 0.000, 12.932]], "species": ["Rb", "Rb", "Cu", "Cu", "Mo", "Mo"], "fractional_positions": [[0.000, 0.000, 0.000], [0.496, 0.500, 0.353], [0.011, 0.500, 0.580], [0.512, 0.000, 0.580], [0.020, 0.000, 0.728], [0.520, 0.500, 0.748]]}

=====

9.
{"formula": "ZrTlSeBr2", "functional": "PBE-GGA", "state": "optimized geometry", "e_form_raw_mev_per_atom": -911, "polymorph_energy_mev_per_atom": 0, "cell": [[5.421, 0.000, 0.000], [0.000, 5.421, 0.000], [0.000, 0.000, 5.264]], "species": ["Zr", "Tl", "Se", "Br", "Br"], "fractional_positions": [[0.000, 0.000, 0.000], [0.500, 0.500, 0.500], [0.000, 0.000, 0.500], [0.000, 0.500, 0.000], [0.500, 0.000, 0.000]]}

=====

10.
{"formula": "Sc2MnRe", "functional": "PBE-GGA", "state": "optimized geometry", "formation_energy_ev_per_atom": 0.2269, "cell": [[2.817, 0.000, 0.000], [0.000, 4.469, 0.000], [0.000, 0.000, 5.622]], "species": ["Sc", "Sc", "Mn", "Re"], "fractional_positions": [[0.000, 0.000, 0.000], [0.500, 0.500, 0.303], [0.000, 0.000, 0.529], [0.500, 0.500, 0.786]]}

=====

11.
{"formula": "CeNpSb2", "functional": "PBE-GGA", "state": "optimized geometry", "e_form_raw_mev_per_atom": -507, "polymorph_energy_mev_per_atom": 110, "cell": [[2.192, 1.266, 7.627], [-2.192, 1.266, 7.627], [0.000, -2.531, 7.627]], "species": ["Ce", "Np", "Sb", "Sb"], "fractional_positions": [[0.000, 0.000, 0.000], [0.170, 0.170, 0.170], [0.582, 0.582, 0.582], [0.755, 0.755, 0.755]]}

=====

12.
{"formula": "NaIn2Ru", "functional": "PBE-GGA", "state": "optimized geometry", "formation_energy_ev_per_atom": 0.0090, "cell": [[3.285, 0.000, 0.000], [0.000, 3.285, 0.000], [0.000, 0.000, 7.825]], "species": ["Na", "In", "In", "Ru"], "fractional_positions": [[0.000, 0.000, 0.000], [0.500, 0.500, 0.298], [0.500, 0.500, 0.702], [0.000, 0.000, 0.500]]}

=====

What are the raw total energy values for these records? In order: -5.1220; -6.9896; -8.3875; -5.2759; -6.4274; -3.1771; -2.9884; -4.7201; -4.4598; -8.3433; -7.2872; -4.0090 eV per atom.
What are the Fermi-level density of states values for these records? In order: 6.44; 1.85; 5.41; 8.67; 21.87; 1.05; 1.63; 3.12; 1.75; 4.83; 16.71; 1.57 states/eV per cell.